(1)
A relaxed structure of YAs2AuSe. Source: Alexandria via LeMat-Bulk, functional GGA-PBEsol.

The space group is P4/mmm (No. 123) and the conventional cell measures 4.9008, 4.9008 and 5.0618 Å, with angles of 90.00, 90.00 and 90.00 degrees. The asymmetric unit holds Y at (0.0000, 0.0000, 0.0000), As at (0.0000, 0.5000, 0.5000), Au at (0.5000, 0.5000, 0.5000) and Se at (0.5000, 0.5000, 0.0000).

The calculation puts the energy relative to the elements, uncorrected at 0.035 eV/atom.

***

(2)
A relaxed structure of Si4AsAu. Source: Alexandria via LeMat-Bulk, functional GGA-PBEsol.

The space group is F-43m (No. 216) and the conventional cell measures 7.2735, 7.2735 and 7.2735 Å, with angles of 90.00, 90.00 and 90.00 degrees. The asymmetric unit holds Si at (0.1249, 0.1249, 0.1249), As at (0.2500, 0.2500, 0.7500) and Au at (0.0000, 0.0000, 0.5000).

The calculation puts the energy relative to the elements, uncorrected at 0.525 eV/atom.

***

(3)
A relaxed structure of SiAsAu2. Source: Alexandria via LeMat-Bulk, functional GGA-PBEsol.

The space group is Fm-3m (No. 225) and the conventional cell measures 6.5084, 6.5084 and 6.5084 Å, with angles of 90.00, 90.00 and 90.00 degrees. The asymmetric unit holds Si at (0.0000, 0.0000, 0.0000), As at (0.0000, 0.0000, 0.5000) and Au at (0.2500, 0.2500, 0.2500).

The calculation puts the energy relative to the elements, uncorrected at 0.256 eV/atom.

***

(4)
A relaxed structure of SiAsAu2. Source: Alexandria via LeMat-Bulk, functional GGA-PBEsol.

The space group is R-3m (No. 166, hexagonal axes) and the conventional cell measures 3.2981, 3.2981 and 22.2208 Å, with angles of 90.00, 90.00 and 120.00 degrees. The asymmetric unit holds Si at (0.0000, 0.0000, 0.0000), As at (0.0000, 0.0000, 0.5000) and Au at (0.0000, 0.0000, 0.2568).

The calculation puts the energy relative to the elements, uncorrected at 0.082 eV/atom.

***

(5)
A relaxed structure of SiAsAu. Source: Alexandria via LeMat-Bulk, functional GGA-PBEsol.

The space group is F-43m (No. 216) and the conventional cell measures 6.0697, 6.0697 and 6.0697 Å, with angles of 90.00, 90.00 and 90.00 degrees. The asymmetric unit holds Si at (0.0000, 0.0000, 0.0000), As at (0.2500, 0.2500, 0.2500) and Au at (0.2500, 0.2500, 0.7500).

The calculation puts the energy relative to the elements, uncorrected at 0.185 eV/atom.

***

(6)
A relaxed structure of SiAsAu2. Source: Alexandria via LeMat-Bulk, functional GGA-PBEsol.

The space group is Pmmm (No. 47) and the conventional cell measures 2.7044, 3.9292 and 6.8109 Å, with angles of 90.00, 90.00 and 90.00 degrees. The asymmetric unit holds Si at (0.0000, 0.0000, 0.0000), As at (0.0000, 0.0000, 0.5000) and Au at (0.0000, 0.5000, 0.2346).

The calculation puts the energy relative to the elements, uncorrected at 0.116 eV/atom.

***

(7)
A relaxed structure of ZrSiAs2Au. Source: Alexandria via LeMat-Bulk, functional GGA-PBEsol.

The space group is P4/mmm (No. 123) and the conventional cell measures 5.0374, 5.0374 and 5.1501 Å, with angles of 90.00, 90.00 and 90.00 degrees. The asymmetric unit holds Zr at (0.0000, 0.0000, 0.0000), Si at (0.5000, 0.5000, 0.5000), As at (0.0000, 0.5000, 0.0000) and Au at (0.0000, 0.0000, 0.5000).

The calculation puts the energy relative to the elements, uncorrected at 0.727 eV/atom.

***

(8)
A relaxed structure of SnAs2Au. Source: Alexandria via LeMat-Bulk, functional GGA-PBEsol.

The space group is I-42d (No. 122) and the conventional cell measures 5.9510, 5.9510 and 11.8356 Å, with angles of 90.00, 90.00 and 90.00 degrees. The asymmetric unit holds Sn at (0.0000, 0.0000, 0.0000), As at (0.2264, 0.2500, 0.6250) and Au at (0.0000, 0.0000, 0.5000).

The value obtained for the formation enthalpy at 0 K is 0.04 eV per atom.

***

(9)
A relaxed structure of Sn2As2Au. Source: Alexandria via LeMat-Bulk, functional GGA-PBEsol.

The space group is I4/mmm (No. 139) and the conventional cell measures 3.6811, 3.6811 and 16.5513 Å, with angles of 90.00, 90.00 and 90.00 degrees. The asymmetric unit holds Sn at (0.0000, 0.0000, 0.0951), As at (0.0000, 0.5000, 0.2500) and Au at (0.0000, 0.0000, 0.5000).

The value obtained for the formation enthalpy at 0 K is 0.10 eV per atom.

***

(10)
A relaxed structure of Sr3AsAu. Source: Alexandria via LeMat-Bulk, functional GGA-PBEsol.

The space group is Pm-3m (No. 221) and the conventional cell measures 5.8121, 5.8121 and 5.8121 Å, with angles of 90.00, 90.00 and 90.00 degrees. The asymmetric unit holds Sr at (0.0000, 0.0000, 0.5000), As at (0.0000, 0.0000, 0.0000) and Au at (0.5000, 0.5000, 0.5000).

The value obtained for the formation enthalpy at 0 K is -0.44 eV per atom.

***

(11)
A relaxed structure of Sr2AsAu. Source: Alexandria via LeMat-Bulk, functional GGA-PBEsol.

The space group is R-3m (No. 166, hexagonal axes) and the conventional cell measures 4.6599, 4.6599 and 19.5468 Å, with angles of 90.00, 90.00 and 120.00 degrees. The asymmetric unit holds Sr at (0.0000, 0.0000, 0.2434), As at (0.0000, 0.0000, 0.5000) and Au at (0.0000, 0.0000, 0.0000).

The value obtained for the formation enthalpy at 0 K is -0.85 eV per atom.

***

(12)
A relaxed structure of Sr2AsAu. Source: Alexandria via LeMat-Bulk, functional GGA-PBEsol.

The space group is P4/mmm (No. 123) and the conventional cell measures 5.2747, 5.2747 and 3.8099 Å, with angles of 90.00, 90.00 and 90.00 degrees. The asymmetric unit holds Sr at (0.0000, 0.5000, 0.0000), As at (0.0000, 0.0000, 0.5000) and Au at (0.5000, 0.5000, 0.5000).

The value obtained for the formation enthalpy at 0 K is -0.87 eV per atom.

***

(13)
A relaxed structure of SrAs2Au. Source: Alexandria via LeMat-Bulk, functional GGA-PBEsol.

The space group is F-43m (No. 216) and the conventional cell measures 7.0547, 7.0547 and 7.0547 Å, with angles of 90.00, 90.00 and 90.00 degrees. The asymmetric unit holds Sr at (0.0000, 0.0000, 0.0000), As at (0.0000, 0.0000, 0.5000), As at (0.2500, 0.2500, 0.7500) and Au at (0.2500, 0.2500, 0.2500).

The value obtained for the formation enthalpy at 0 K is -0.22 eV per atom.

***

(14)
A relaxed structure of SrAsAu. Source: Alexandria via LeMat-Bulk, functional GGA-PBEsol.

The space group is P-6m2 (No. 187) and the conventional cell measures 4.4079, 4.4079 and 4.3357 Å, with angles of 90.00, 90.00 and 120.00 degrees. The asymmetric unit holds Sr at (0.0000, 0.0000, 0.0000), As at (0.3333, 0.6667, 0.5000) and Au at (0.6667, 0.3333, 0.5000).

The value obtained for the formation enthalpy at 0 K is -0.91 eV per atom.

***

(15)
A relaxed structure of SrAs2Au. Source: Alexandria via LeMat-Bulk, functional GGA-PBEsol.

The space group is C2/m (No. 12) and the conventional cell measures 9.3558, 4.7593 and 4.6281 Å, with angles of 90.00, 103.99 and 90.00 degrees. The asymmetric unit holds Sr at (0.0000, 0.0000, 0.0000), As at (0.2376, 0.5000, 0.3663) and Au at (0.0000, 0.5000, 0.5000).

The value obtained for the formation enthalpy at 0 K is -0.50 eV per atom.

***

(16)
A relaxed structure of Sr2AsAu. Source: Alexandria via LeMat-Bulk, functional GGA-PBEsol.

The space group is Amm2 (No. 38) and the conventional cell measures 4.5255, 4.2739 and 11.4844 Å, with angles of 90.00, 90.00 and 90.00 degrees. The asymmetric unit holds Sr at (0.0000, 0.0000, 0.0000), Sr at (0.5000, 0.0000, 0.2749), As at (0.5000, 0.0000, 0.5575) and Au at (0.0000, 0.0000, 0.7164).

The value obtained for the formation enthalpy at 0 K is -0.92 eV per atom.

***

(17)
A relaxed structure of SrAs2Au. Source: Alexandria via LeMat-Bulk, functional GGA-PBEsol.

The space group is R-3m (No. 166, hexagonal axes) and the conventional cell measures 4.5356, 4.5356 and 15.6041 Å, with angles of 90.00, 90.00 and 120.00 degrees. The asymmetric unit holds Sr at (0.0000, 0.0000, 0.0000), As at (0.0000, 0.0000, 0.2099) and Au at (0.0000, 0.0000, 0.5000).

The value obtained for the formation enthalpy at 0 K is -0.43 eV per atom.

***

(18)
A relaxed structure of SrAsAu. Source: Alexandria via LeMat-Bulk, functional GGA-PBEsol.

The space group is P6_3/mmc (No. 194) and the conventional cell measures 4.4500, 4.4500 and 8.4165 Å, with angles of 90.00, 90.00 and 120.00 degrees. The asymmetric unit holds Sr at (0.0000, 0.0000, 0.0000), As at (0.3333, 0.6667, 0.2500) and Au at (0.3333, 0.6667, 0.7500).

The value obtained for the formation enthalpy at 0 K is -0.93 eV per atom.

***

(19)
A relaxed structure of TaAs2Au. Source: Alexandria via LeMat-Bulk, functional GGA-PBEsol.

The space group is F-43m (No. 216) and the conventional cell measures 6.5352, 6.5352 and 6.5352 Å, with angles of 90.00, 90.00 and 90.00 degrees. The asymmetric unit holds Ta at (0.0000, 0.0000, 0.0000), As at (0.0000, 0.0000, 0.5000), As at (0.2500, 0.2500, 0.7500) and Au at (0.2500, 0.2500, 0.2500).

The value obtained for the formation enthalpy at 0 K is 0.33 eV per atom.

***

(20)
A relaxed structure of TaAsAu2. Source: Alexandria via LeMat-Bulk, functional GGA-PBEsol.

The space group is Immm (No. 71) and the conventional cell measures 3.2394, 4.3355 and 9.5900 Å, with angles of 90.00, 90.00 and 90.00 degrees. The asymmetric unit holds Ta at (0.0000, 0.0000, 0.0000), As at (0.0000, 0.0000, 0.5000) and Au at (0.0000, 0.5000, 0.2312).

The value obtained for the formation enthalpy at 0 K is 0.05 eV per atom.

***

Going through the records in order, we get total energy values of -24.63 -28.87 -17.68 -18.37 -14.22 -18.24 -25.34 -18.23 -22.15 -16.74 -16.09 -16.20 -16.84 -13.59 -17.97 -16.39 -17.68 -13.67 -25.37 -25.30 eV per formula unit.